# 1
A geometry-optimized K2Cu3F10 structure, computed with GGA-PBE.

```
30
Lattice="-5.865 0.618 0.902 -1.476 -5.124 -6.093 3.717 -4.682 7.648" Properties=species:S:1:pos:R:3 pbc="T T T"
F -1.074 -2.032 4.275
F -5.386 -2.072 -2.332
F -4.292 -0.587 2.298
F -2.705 -4.076 4.934
F -0.226 -1.109 -0.709
F -2.327 -8.286 0.619
F 1.858 -2.341 3.824
F -1.807 -3.584 -0.382
F -3.399 -8.079 3.166
F -0.473 -8.444 2.706
F -3.611 -5.865 0.269
F 1.398 -5.943 2.345
F -1.955 -2.434 -2.859
F -1.298 -0.903 1.838
F -0.014 -3.323 2.188
F -5.022 -3.245 0.112
F -1.817 -5.604 2.839
F -0.919 -5.112 -2.477
F -3.151 -0.744 -0.249
F 0.668 -8.601 0.158
K -3.071 -3.191 1.949
K -3.821 -4.435 -2.081
K 0.197 -4.753 4.537
K -0.554 -5.997 0.508
Cu -1.463 0.154 0.225
Cu -0.586 -3.129 -1.667
Cu 0.265 -1.650 2.853
Cu -3.039 -6.059 4.124
Cu -4.402 0.464 0.677
Cu -3.889 -7.539 -0.397
```

Values from the calculation:
ΔE_f (raw) = -1.86 eV per atom
SG = No. 12
Magnetic moment = 4.49 μB per cell
Density of states at the Fermi level = 5.2 states/eV/f.u.



# 2
A geometry-optimized K4CuF6 structure, computed with GGA-PBE.

```
22
Lattice="7.312 0.000 0.000 0.000 7.312 0.000 0.000 0.000 7.421" Properties=species:S:1:pos:R:3 pbc="T T T"
F 6.617 5.206 3.711
F 3.656 3.656 5.530
F 4.350 1.551 0.000
F 5.206 0.694 3.711
F 5.761 4.350 0.000
F 2.105 6.617 3.711
F 1.551 2.961 0.000
F 3.656 3.656 1.891
F 0.694 2.105 3.711
F 0.000 0.000 1.819
F 2.961 5.761 0.000
F 0.000 0.000 5.602
K 2.425 1.231 5.566
K 6.081 2.425 1.855
K 6.081 2.425 5.566
K 4.887 6.081 1.855
K 4.887 6.081 5.566
K 2.425 1.231 1.855
K 1.231 4.887 1.855
K 1.231 4.887 5.566
Cu 0.000 0.000 3.711
Cu 3.656 3.656 0.000
```

Values from the calculation:
ΔE_f (raw) = -2.40 eV per atom
SG = No. 128
Magnetic moment = 2.00 μB per cell
Density of states at the Fermi level = 1.8 states/eV/f.u.



# 3
A geometry-optimized K2CuF2 structure, computed with GGA-PBE.

```
10
Lattice="7.553 0.000 0.000 0.000 7.553 0.000 0.000 0.000 3.252" Properties=species:S:1:pos:R:3 pbc="T T T"
F 1.154 2.623 0.000
F 2.623 6.399 0.000
F 4.930 1.154 0.000
F 6.399 4.930 0.000
Cu 3.776 3.776 0.000
Cu 0.000 0.000 0.000
K 2.654 1.122 1.626
K 4.898 6.431 1.626
K 1.122 4.898 1.626
K 6.431 2.654 1.626
```

Values from the calculation:
Excess energy over the best structure of this formula in the dataset = 21 kJ/mol of formula units
ΔE_f (raw) = -1.54 eV per atom
SG = No. 127
Magnetic moment = 0.00 μB per cell
Density of states at the Fermi level = 1.3 states/eV/f.u.



# 4
A geometry-optimized K3CuF structure, computed with GGA-PBE.

```
5
Lattice="-1.057 4.898 -1.913 -2.226 -2.185 -4.364 -4.764 -0.066 2.464" Properties=species:S:1:pos:R:3 pbc="T T T"
K -0.529 2.449 -0.957
K -1.113 -1.092 -2.182
K -2.382 -0.033 1.232
F 0.000 0.000 0.000
Cu -4.024 1.324 -1.907
```

Values from the calculation:
Excess energy over the best structure of this formula in the dataset = 0 kJ/mol of formula units
ΔE_f (raw) = -0.85 eV per atom
SG = No. 221
Magnetic moment = 0.00 μB per cell
Density of states at the Fermi level = 3.1 states/eV/f.u.



# 5
A geometry-optimized KCu2F11 structure, computed with GGA-PBE.

```
28
Lattice="-5.188 -5.988 2.150 3.455 -7.638 2.739 -1.969 -0.849 8.555" Properties=species:S:1:pos:R:3 pbc="T T T"
F 0.338 -8.283 3.244
F -5.488 -5.650 8.217
F -2.739 -6.129 7.673
F -1.851 -7.238 6.722
F -2.618 -12.515 5.839
F -1.597 -10.514 4.046
F -1.084 -1.960 7.605
F -3.554 -3.419 7.415
F -1.986 -10.346 7.565
F 1.270 -6.591 6.215
F -3.524 -8.427 9.213
F -3.434 -9.804 5.581
F -2.106 -3.961 9.398
F -0.149 -11.056 6.030
F -0.269 -4.671 7.863
F -0.963 -8.346 5.771
F -1.717 -4.129 5.880
F -0.178 -6.049 4.232
F -4.972 -7.884 7.229
F 1.785 -8.826 5.228
F 0.000 0.000 0.000
F -4.040 -6.192 10.200
K -0.926 -3.619 3.361
K -2.777 -10.856 10.083
Cu -1.791 -10.430 5.806
Cu -4.506 -7.038 8.714
Cu 0.803 -7.437 4.730
Cu -1.911 -4.045 7.639
```

Values from the calculation:
ΔE_f (raw) = -1.15 eV per atom
SG = No. 65
Magnetic moment = 4.31 μB per cell
Density of states at the Fermi level = 18.3 states/eV/f.u.



# 6
A geometry-optimized K12Cu3F5 structure, computed with GGA-PBE.

```
80
Lattice="15.240 0.000 0.000 -5.080 14.369 0.000 -5.080 -7.184 12.444" Properties=species:S:1:pos:R:3 pbc="T T T"
F -2.540 -3.592 6.222
F -1.270 0.898 7.777
F -5.080 3.592 6.222
F 2.540 3.592 6.222
F 6.350 6.286 4.666
F 3.810 2.694 1.555
F -2.540 7.184 0.000
F 0.000 0.000 0.000
F 1.270 4.490 10.888
F 6.350 3.592 9.333
F 5.080 7.184 0.000
F -3.810 8.082 4.666
F -1.270 11.675 1.555
F 5.080 -3.592 6.222
F 3.810 10.777 3.111
F 8.890 -0.898 7.777
F 6.350 -4.490 10.888
F 7.620 0.000 0.000
F -1.270 3.592 3.111
F 1.270 -3.592 9.333
K 0.706 9.241 8.480
K 9.455 0.869 6.021
K 5.937 1.879 11.182
K -5.288 10.164 4.759
K -1.355 8.512 5.226
K -1.834 -0.869 6.021
K 3.397 5.152 0.996
K 3.397 9.064 1.262
K 5.786 5.996 9.985
K -2.747 -5.611 12.243
K 6.915 8.053 6.422
K 7.828 12.796 0.201
K -3.725 12.374 1.463
K 11.516 3.323 3.763
K -1.683 0.153 10.185
K -0.857 9.217 0.996
K 6.763 7.031 2.258
K 3.895 5.856 5.226
K 8.805 -5.189 10.981
K 10.368 -2.979 7.685
K 7.828 4.205 4.759
K -4.374 6.316 6.422
K 1.683 2.033 11.447
K -4.873 5.611 12.243
K 1.834 5.128 8.480
K -2.747 2.979 7.685
K 6.435 -1.328 7.218
K 1.683 -1.879 11.182
K 8.326 -1.188 2.459
K 9.953 1.573 0.201
K 11.017 7.338 2.258
K -5.937 -0.153 10.185
K 4.873 2.632 7.484
K 0.207 4.552 4.960
K 2.747 -2.632 7.484
K 1.185 1.328 7.218
K 2.333 9.816 4.960
K -6.435 3.861 8.681
K 6.265 11.046 3.763
K -1.185 -3.861 8.681
K 5.937 -2.033 11.447
K -3.246 8.372 9.985
K -0.706 1.188 2.459
K 4.374 -2.057 3.963
K -0.857 5.305 1.262
K 3.246 2.057 3.963
K -1.185 5.189 10.981
K 6.265 1.995 1.463
Cu 3.810 8.082 7.777
Cu 8.890 4.490 1.555
Cu 6.350 0.898 4.666
Cu -3.810 2.694 10.888
Cu 1.270 7.184 3.111
Cu 3.810 0.000 9.333
Cu -1.270 6.286 7.777
Cu -6.350 7.184 9.333
Cu 1.270 -0.898 4.666
Cu 11.430 0.000 3.111
Cu 8.890 9.879 1.555
Cu -3.810 -2.694 10.888
```

Values from the calculation:
ΔE_f (raw) = -1.13 eV per atom
SG = No. 230
Magnetic moment = 1.08 μB per cell
Density of states at the Fermi level = 9.4 states/eV/f.u.



# 7
A geometry-optimized K2CuF structure, computed with GGA-PBE.

```
8
Lattice="-5.923 3.559 3.158 -3.465 0.228 -6.757 -6.587 -2.001 -0.961" Properties=species:S:1:pos:R:3 pbc="T T T"
Cu 0.000 0.000 0.000
Cu -8.602 1.725 0.199
K -12.869 1.793 -3.311
K -8.748 -0.062 -2.629
K -5.292 1.458 0.628
K -5.043 0.381 -3.807
F -7.373 0.060 -4.759
F -4.694 1.893 -1.800
```

Values from the calculation:
Excess energy over the best structure of this formula in the dataset = 0 kJ/mol of formula units
ΔE_f (raw) = -1.04 eV per atom
SG = No. 122
Magnetic moment = 0.00 μB per cell
Density of states at the Fermi level = 0.0 states/eV/f.u.



# 8
A geometry-optimized K2CuF2 structure, computed with GGA-PBE.

```
5
Lattice="4.874 0.000 0.000 0.000 4.874 0.000 2.437 2.437 5.553" Properties=species:S:1:pos:R:3 pbc="T T T"
K 4.874 4.874 3.557
K 2.437 2.437 1.997
Cu 0.000 0.000 0.000
F 4.874 2.437 2.777
F 2.437 4.874 2.777
```

Values from the calculation:
Excess energy over the best structure of this formula in the dataset = 99 kJ/mol of formula units
ΔE_f (raw) = -1.38 eV per atom
SG = No. 139
Magnetic moment = 0.78 μB per cell
Density of states at the Fermi level = 1.7 states/eV/f.u.



Question: What is the density of states at the Fermi level in the eighth record?
Answer: 1.7 states/eV/f.u.